This record from OQMD via LeMat-Bulk describes Zn2Pd2O5 after structural relaxation. The functional is PBE-GGA.

calculated volume: 11.40 Å³ per atom
calculated total energy: -40.96 eV/cell
polymorph energy (0 for the lowest one): 0 meV per atom

abc: 3.5471 3.5471 8.1544
angles: 90.00 90.00 90.00
Closest atoms and distances in Å follow each position.
Positions (direct):
Zn 0.0000 0.0000 0.2386  5 O 1.95-2.00
Zn 0.0000 0.0000 0.7614  5 O 1.95-2.00
Pd 0.5000 0.5000 0.0000  4 O 2.51
Pd 0.5000 0.5000 0.5000  8 O 2.15
O 0.0000 0.0000 0.0000  2 Zn 1.95
O 0.0000 0.5000 0.3512  2 Zn 2.00, 2 Pd 2.15
O 0.0000 0.5000 0.6488  2 Zn 2.00, 2 Pd 2.15
O 0.5000 0.0000 0.3512  2 Zn 2.00, 2 Pd 2.15
O 0.5000 0.0000 0.6488  2 Zn 2.00, 2 Pd 2.15

=====

This record from OQMD via LeMat-Bulk describes ZrPdO3 after structural relaxation. The functional is PBE-GGA.

calculated volume: 12.74 Å³ per atom
calculated total energy: -74.58 eV/cell

abc: 5.7247 5.7247 5.7247
angles: 58.27 58.27 58.27
Closest atoms and distances in Å follow each position.
Positions (direct):
Zr 0.0000 0.0000 0.0000  6 O 2.11
Zr 0.5000 0.5000 0.5000  6 O 2.11
Pd 0.2500 0.2500 0.2500  3 O 2.10
Pd 0.7500 0.7500 0.7500  3 O 2.10
O 0.1262 0.7500 0.3738  1 Pd 2.10, 2 Zr 2.11
O 0.2500 0.6262 0.8738  1 Pd 2.10, 2 Zr 2.11
O 0.3738 0.1262 0.7500  1 Pd 2.10, 2 Zr 2.11
O 0.6262 0.8738 0.2500  1 Pd 2.10, 2 Zr 2.11
O 0.7500 0.3738 0.1262  1 Pd 2.10, 2 Zr 2.11
O 0.8738 0.2500 0.6262  1 Pd 2.10, 2 Zr 2.11

=====

This record from OQMD via LeMat-Bulk describes Zr2PdO4 after structural relaxation. The functional is PBE-GGA.

calculated volume: 14.12 Å³ per atom
calculated total energy: -116.41 eV/cell

abc: 6.5381 6.5381 6.5381
angles: 60.00 60.00 60.00
Closest atoms and distances in Å follow each position.
Positions (direct):
Zr 0.0000 0.0000 0.0000  6 O 2.15
Zr 0.0000 0.0000 0.5000  6 O 2.15
Zr 0.0000 0.5000 0.0000  6 O 2.15
Zr 0.5000 0.0000 0.0000  6 O 2.15
Pd 0.3750 0.3750 0.3750  4 O 2.31
Pd 0.6250 0.6250 0.6250  4 O 2.31
O 0.1914 0.7695 0.7695  3 Zr 2.15, 1 Pd 2.31
O 0.2305 0.2305 0.2305  3 Zr 2.15, 1 Pd 2.31
O 0.2305 0.2305 0.8086  3 Zr 2.15, 1 Pd 2.31
O 0.2305 0.8086 0.2305  3 Zr 2.15, 1 Pd 2.31
O 0.7695 0.1914 0.7695  3 Zr 2.15, 1 Pd 2.31
O 0.7695 0.7695 0.1914  3 Zr 2.15, 1 Pd 2.31
O 0.7695 0.7695 0.7695  3 Zr 2.15, 1 Pd 2.31
O 0.8086 0.2305 0.2305  3 Zr 2.15, 1 Pd 2.31

=====

This record from OQMD via LeMat-Bulk describes Zr2PdO5 after structural relaxation. The functional is PBE-GGA.

calculated volume: 12.44 Å³ per atom
calculated total energy: -133.46 eV/cell

abc: 6.1966 6.1966 6.9724
angles: 106.26 106.26 51.44
Closest atoms and distances in Å follow each position.
Positions (direct):
Zr 0.1813 0.1807 0.3408  1 O 1.92
Zr 0.1807 0.1813 0.8408  1 O 1.92
Zr 0.8193 0.8187 0.1592  1 O 1.92
Zr 0.8187 0.8193 0.6592  1 O 1.92
Pd 0.5000 0.5000 0.0000  4 O 2.10-2.11
Pd 0.5000 0.5000 0.5000  4 O 2.10-2.11
O 0.0032 0.9968 0.7500  2 Zr 1.92
O 0.0998 0.5890 0.4213  1 Pd 2.11, 3 Zr 2.18-2.24
O 0.1007 0.5896 0.9235  1 Pd 2.10, 3 Zr 2.18-2.24
O 0.4104 0.8993 0.5765  1 Pd 2.10, 3 Zr 2.18-2.24
O 0.4110 0.9002 0.0787  1 Pd 2.11, 3 Zr 2.18-2.24
O 0.5890 0.0998 0.9213  1 Pd 2.11, 3 Zr 2.18-2.24
O 0.5896 0.1007 0.4235  1 Pd 2.10, 3 Zr 2.18-2.24
O 0.8993 0.4104 0.0765  1 Pd 2.10, 3 Zr 2.18-2.24
O 0.9002 0.4110 0.5787  1 Pd 2.11, 3 Zr 2.18-2.24
O 0.9968 0.0032 0.2500  2 Zr 1.92

=====

Which value of calculated volume does entry 1 give?
11.40 Å³ per atom